[1]
AlIn2Cl: relaxed, PBE.

abc: 4.8733 4.8733 8.3655
angles: 90.00 90.00 90.00
Atoms (fractional coordinates):
Al 0.0000 0.0000 0.0000
Al 0.5000 0.5000 0.5000
In 0.0000 0.5000 0.2500
In 0.0000 0.5000 0.7500
In 0.5000 0.0000 0.2500
In 0.5000 0.0000 0.7500
Cl 0.0000 0.0000 0.5000
Cl 0.5000 0.5000 0.0000

## Properties
**N(E_F)**: 2.4 states/eV/f.u.
**ΔE to the lowest computed polymorph**: 204.7 meV per atom
**E_form (uncorrected)**: -0.0287 eV per atom
**Theoretical density**: 4.88 g cm⁻³
**SG**: I4/mmm
**Calculated volume**: 99.34 Å³/f.u.

[2]
Li2SnPb: relaxed, PBE.

abc: 3.4872 5.5290 11.0960
angles: 90.00 90.00 90.00
Atoms (fractional coordinates):
Li 0.0000 0.0000 0.2473
Li 0.0000 0.0000 0.7527
Li 0.5000 0.5000 0.2527
Li 0.5000 0.5000 0.7473
Sn 0.0000 0.0000 0.0000
Sn 0.5000 0.5000 0.5000
Pb 0.0000 0.0000 0.5000
Pb 0.5000 0.5000 0.0000

## Properties
**DFT formation energy**: 0.07 eV per atom
**N(E_F)**: 2.7 states/eV/f.u.
**Theoretical density**: 5.27 g cm⁻³
**SG**: Immm
**Calculated volume**: 106.97 Å³/f.u.

[3]
RbZnW3: relaxed, PBE.

abc: 4.7143 4.7143 4.7143
angles: 90.00 90.00 90.00
Atoms (fractional coordinates):
Rb 0.0000 0.0000 0.0000
Zn 0.5000 0.5000 0.5000
W 0.0000 0.0000 0.5000
W 0.0000 0.5000 0.0000
W 0.5000 0.0000 0.0000

## Properties
**DFT formation energy**: 3.92 eV per atom
**N(E_F)**: 5.3 states/eV/f.u.
**ΔE to the lowest computed polymorph**: 1277.0 meV per atom
**Theoretical density**: 11.13 g cm⁻³
**SG**: Pm-3m
**Calculated volume**: 104.77 Å³/f.u.

[4]
Sc2IrPd2: relaxed, PBE.

abc: 7.3002 7.3002 3.3274
angles: 90.00 90.00 90.00
Atoms (fractional coordinates):
Sc 0.1657 0.3343 0.0000
Sc 0.3343 0.8343 0.0000
Sc 0.6657 0.1657 0.0000
Sc 0.8343 0.6657 0.0000
Ir 0.0000 0.0000 0.0000
Ir 0.5000 0.5000 0.0000
Pd 0.1365 0.6365 0.5000
Pd 0.3635 0.1365 0.5000
Pd 0.6365 0.8635 0.5000
Pd 0.8635 0.3635 0.5000

## Properties
**DFT formation energy**: -0.53 eV per atom
**N(E_F)**: 3.1 states/eV/f.u.
**ΔE to the lowest computed polymorph**: 276.1 meV per atom
**Theoretical density**: 9.27 g cm⁻³
**SG**: P4/mbm
**Calculated volume**: 88.66 Å³/f.u.

[5]
InSb2P: relaxed, PBE.

abc: 4.1675 4.1675 20.5446
angles: 90.00 90.00 120.00
Atoms (fractional coordinates):
In 0.0000 0.0000 0.0000
In 0.3333 0.6667 0.6667
In 0.6667 0.3333 0.3333
Sb 0.0000 0.0000 0.5202
Sb 0.0000 0.0000 0.7685
Sb 0.3333 0.6667 0.1869
Sb 0.3333 0.6667 0.4352
Sb 0.6667 0.3333 0.1019
Sb 0.6667 0.3333 0.8536
P 0.0000 0.0000 0.2719
P 0.3333 0.6667 0.9386
P 0.6667 0.3333 0.6052

## Properties
**N(E_F)**: 1.5 states/eV/f.u.
**ΔE to the lowest computed polymorph**: 0.0 meV per atom
**E_form (uncorrected)**: 0.0914 eV per atom
**Theoretical density**: 6.28 g cm⁻³
**SG**: R3m
**Calculated volume**: 103.00 Å³/f.u.

[6]
LiBe2Au2: relaxed, PBE.

abc: 6.8295 6.8295 2.8455
angles: 90.00 90.00 90.00
Atoms (fractional coordinates):
Li 0.0000 0.0000 0.0000
Li 0.5000 0.5000 0.0000
Be 0.1223 0.3777 0.0000
Be 0.3777 0.8777 0.0000
Be 0.6223 0.1223 0.0000
Be 0.8777 0.6223 0.0000
Au 0.1733 0.6733 0.5000
Au 0.3267 0.1733 0.5000
Au 0.6733 0.8267 0.5000
Au 0.8267 0.3267 0.5000

## Properties
**DFT formation energy**: -0.31 eV per atom
**N(E_F)**: 1.3 states/eV/f.u.
**ΔE to the lowest computed polymorph**: 0.0 meV per atom
**Theoretical density**: 10.48 g cm⁻³
**SG**: P4/mbm
**Calculated volume**: 66.36 Å³/f.u.

[7]
Ho3ZnNi8: relaxed, PBE.

abc: 8.6302 8.6302 8.6302
angles: 33.44 33.44 33.44
Atoms (fractional coordinates):
Ho 0.0000 0.0000 0.0000
Ho 0.1290 0.1290 0.1290
Ho 0.5148 0.5148 0.5148
Zn 0.6363 0.6363 0.6363
Ni 0.0655 0.5685 0.5685
Ni 0.0707 0.0707 0.5658
Ni 0.0707 0.5658 0.0707
Ni 0.3180 0.3180 0.3180
Ni 0.5658 0.0707 0.0707
Ni 0.5685 0.0655 0.5685
Ni 0.5685 0.5685 0.0655
Ni 0.8183 0.8183 0.8183

## Properties
**DFT formation energy**: -0.43 eV per atom
**N(E_F)**: 8.6 states/eV/f.u.
**Theoretical density**: 9.84 g cm⁻³
**SG**: R3m
**Calculated volume**: 173.85 Å³/f.u.

[8]
NbIrPt3: relaxed, PBE.

abc: 4.7736 4.7736 4.7736
angles: 90.00 90.00 90.00
Atoms (fractional coordinates):
Nb 0.0000 0.0000 0.0000
Ir 0.5000 0.5000 0.5000
Pt 0.0000 0.0000 0.5000
Pt 0.0000 0.5000 0.0000
Pt 0.5000 0.0000 0.0000

## Properties
**DFT formation energy**: 1.52 eV per atom
**N(E_F)**: 5.5 states/eV/f.u.
**ΔE to the lowest computed polymorph**: 1987.8 meV per atom
**Theoretical density**: 13.29 g cm⁻³
**SG**: Pm-3m
**Calculated volume**: 108.78 Å³/f.u.

[9]
PmSmTmLu: relaxed, PBE.

abc: 8.0126 8.0126 8.0126
angles: 90.00 90.00 90.00
Atoms (fractional coordinates):
Pm 0.0000 0.0000 0.0000
Pm 0.0000 0.5000 0.5000
Pm 0.5000 0.0000 0.5000
Pm 0.5000 0.5000 0.0000
Sm 0.0000 0.0000 0.5000
Sm 0.0000 0.5000 0.0000
Sm 0.5000 0.0000 0.0000
Sm 0.5000 0.5000 0.5000
Tm 0.2500 0.2500 0.7500
Tm 0.2500 0.7500 0.2500
Tm 0.7500 0.2500 0.2500
Tm 0.7500 0.7500 0.7500
Lu 0.2500 0.2500 0.2500
Lu 0.2500 0.7500 0.7500
Lu 0.7500 0.2500 0.7500
Lu 0.7500 0.7500 0.2500

## Properties
**DFT formation energy**: 0.10 eV per atom
**N(E_F)**: 6.4 states/eV/f.u.
**Theoretical density**: 8.25 g cm⁻³
**SG**: F-43m
**Calculated volume**: 128.61 Å³/f.u.

[10]
LiHgCl: relaxed, PBE.

abc: 3.4463 3.4463 14.5111
angles: 90.00 90.00 90.00
Atoms (fractional coordinates):
Li 0.0000 0.0000 0.0000
Li 0.5000 0.5000 0.5000
Hg 0.0000 0.0000 0.7714
Hg 0.5000 0.5000 0.2714
Cl 0.0000 0.0000 0.5061
Cl 0.5000 0.5000 0.0061

## Properties
**N(E_F)**: 0.0 states/eV/f.u.
**ΔE to the lowest computed polymorph**: 32.1 meV per atom
**E_form (uncorrected)**: -1.1072 eV per atom
**Theoretical density**: 4.68 g cm⁻³
**SG**: I4mm
**Calculated volume**: 86.17 Å³/f.u.

[11]
CdTc3P: relaxed, PBE.

abc: 5.0241 5.0241 5.0241
angles: 90.00 90.00 90.00
Atoms (fractional coordinates):
Cd 0.0000 0.0000 0.0000
Tc 0.0000 0.0000 0.5000
Tc 0.0000 0.5000 0.0000
Tc 0.5000 0.0000 0.0000
P 0.5000 0.5000 0.5000

## Properties
**DFT formation energy**: 2.66 eV per atom
**N(E_F)**: 10.0 states/eV/f.u.
**ΔE to the lowest computed polymorph**: 2247.6 meV per atom
**Theoretical density**: 5.73 g cm⁻³
**SG**: Pm-3m
**Calculated volume**: 126.81 Å³/f.u.

[12]
MnRu5: relaxed, PBE.

abc: 4.2661 2.7064 13.9945
angles: 90.00 90.00 90.00
Atoms (fractional coordinates):
Mn 0.0000 0.0000 0.0000
Mn 0.0000 0.5000 0.5000
Ru 0.0000 0.0000 0.3369
Ru 0.0000 0.0000 0.6637
Ru 0.0000 0.5000 0.1637
Ru 0.0000 0.5000 0.8369
Ru 0.5000 0.0000 0.2220
Ru 0.5000 0.0000 0.5534
Ru 0.5000 0.0000 0.8917
Ru 0.5000 0.5000 0.0534
Ru 0.5000 0.5000 0.3917
Ru 0.5000 0.5000 0.7220

## Properties
**DFT formation energy**: 0.02 eV per atom
**N(E_F)**: 5.5 states/eV/f.u.
**Theoretical density**: 11.52 g cm⁻³
**SG**: Amm2
**Calculated volume**: 80.79 Å³/f.u.

[13]
Dy2GeSe: relaxed, PBE.

abc: 4.0833 4.0833 21.2592
angles: 90.00 90.00 120.00
Atoms (fractional coordinates):
Dy 0.0000 0.0000 0.0000
Dy 0.0000 0.0000 0.1806
Dy 0.3333 0.6667 0.6667
Dy 0.3333 0.6667 0.8472
Dy 0.6667 0.3333 0.3333
Dy 0.6667 0.3333 0.5139
Ge 0.0000 0.0000 0.5896
Ge 0.3333 0.6667 0.2562
Ge 0.6667 0.3333 0.9229
Se 0.0000 0.0000 0.7593
Se 0.3333 0.6667 0.4260
Se 0.6667 0.3333 0.0926

## Properties
**N(E_F)**: 2.1 states/eV/f.u.
**ΔE to the lowest computed polymorph**: 123.4 meV per atom
**E_form (uncorrected)**: -1.2763 eV per atom
**Theoretical density**: 7.73 g cm⁻³
**SG**: R3m
**Calculated volume**: 102.32 Å³/f.u.

[14]
Eu2ErI: relaxed, PBE.

abc: 3.8162 3.8162 10.0239
angles: 90.00 90.00 90.00
Atoms (fractional coordinates):
Eu 0.0000 0.0000 0.2358
Eu 0.0000 0.0000 0.7642
Er 0.5000 0.5000 0.5000
I 0.5000 0.5000 0.0000

## Properties
**N(E_F)**: 3.3 states/eV/f.u.
**E_form (uncorrected)**: -0.4330 eV per atom
**Theoretical density**: 6.80 g cm⁻³
**SG**: P4/mmm
**Calculated volume**: 145.98 Å³/f.u.

[15]
Sr3Al: relaxed, PBE.

abc: 7.7990 7.7990 5.8819
angles: 90.00 90.00 120.00
Atoms (fractional coordinates):
Sr 0.1775 0.3550 0.2500
Sr 0.1775 0.8225 0.2500
Sr 0.3550 0.1775 0.7500
Sr 0.6450 0.8225 0.2500
Sr 0.8225 0.1775 0.7500
Sr 0.8225 0.6450 0.7500
Al 0.3333 0.6667 0.7500
Al 0.6667 0.3333 0.2500

## Properties
**DFT formation energy**: 0.02 eV per atom
**N(E_F)**: 6.9 states/eV/f.u.
**Theoretical density**: 3.11 g cm⁻³
**SG**: P6_3/mmc
**Calculated volume**: 154.91 Å³/f.u.

[16]
TaTc2Ag: relaxed, PBE.

abc: 5.5750 9.1547 2.7048
angles: 90.00 111.39 90.00
Atoms (fractional coordinates):
Ta 0.0000 0.0000 0.0000
Ta 0.5000 0.5000 0.0000
Tc 0.2500 0.2500 0.5000
Tc 0.2500 0.7500 0.5000
Tc 0.7500 0.2500 0.5000
Tc 0.7500 0.7500 0.5000
Ag 0.0000 0.5000 0.0000
Ag 0.5000 0.0000 0.0000

## Properties
**DFT formation energy**: 0.31 eV per atom
**N(E_F)**: 2.9 states/eV/f.u.
**ΔE to the lowest computed polymorph**: 131.9 meV per atom
**Theoretical density**: 12.53 g cm⁻³
**SG**: C2/m
**Calculated volume**: 64.27 Å³/f.u.

[17]
Pa2CdPb: relaxed, PBE.

abc: 3.1948 3.1948 37.1702
angles: 90.00 90.00 120.00
Atoms (fractional coordinates):
Pa 0.0000 0.0000 0.0886
Pa 0.0000 0.0000 0.9114
Pa 0.3333 0.6667 0.5781
Pa 0.3333 0.6667 0.7552
Pa 0.6667 0.3333 0.2448
Pa 0.6667 0.3333 0.4219
Cd 0.0000 0.0000 0.0000
Cd 0.3333 0.6667 0.6667
Cd 0.6667 0.3333 0.3333
Pb 0.0000 0.0000 0.5000
Pb 0.3333 0.6667 0.1667
Pb 0.6667 0.3333 0.8333

## Properties
**DFT formation energy**: 0.33 eV per atom
**N(E_F)**: 8.5 states/eV/f.u.
**ΔE to the lowest computed polymorph**: 202.0 meV per atom
**Theoretical density**: 11.85 g cm⁻³
**SG**: R-3m
**Calculated volume**: 109.52 Å³/f.u.

[18]
AgAsPt2: relaxed, PBE.

abc: 7.2229 7.2229 5.4553
angles: 90.00 90.00 90.00
Atoms (fractional coordinates):
Ag 0.0000 0.0000 0.0000
Ag 0.0000 0.5000 0.2500
Ag 0.5000 0.0000 0.7500
Ag 0.5000 0.5000 0.5000
As 0.0000 0.0000 0.5000
As 0.0000 0.5000 0.7500
As 0.5000 0.0000 0.2500
As 0.5000 0.5000 0.0000
Pt 0.2081 0.7500 0.6250
Pt 0.2500 0.2081 0.3750
Pt 0.2500 0.2919 0.8750
Pt 0.2919 0.7500 0.1250
Pt 0.7081 0.2500 0.1250
Pt 0.7500 0.7081 0.8750
Pt 0.7500 0.7919 0.3750
Pt 0.7919 0.2500 0.6250

## Properties
**DFT formation energy**: -0.01 eV per atom
**N(E_F)**: 1.8 states/eV/f.u.
**Theoretical density**: 13.37 g cm⁻³
**SG**: I-42d
**Calculated volume**: 71.15 Å³/f.u.

[19]
ZrTaRu2: relaxed, PBE.

abc: 3.1811 3.1555 6.7000
angles: 90.00 90.18 90.00
Atoms (fractional coordinates):
Zr 0.0000 0.0000 0.0000
Ta 0.0000 0.0000 0.5000
Ru 0.4983 0.5000 0.2669
Ru 0.5017 0.5000 0.7331

## Properties
**DFT formation energy**: -0.48 eV per atom
**N(E_F)**: 2.9 states/eV/f.u.
**Theoretical density**: 11.71 g cm⁻³
**SG**: P2/m
**Calculated volume**: 67.26 Å³/f.u.